The following is a PBE calculation of TlGeTe2S6 after structural relaxation, from the Alexandria database.

a = 7.036 Å, b = 9.534 Å, c = 9.534 Å
α = 102.11°, β = 76.33°, γ = 76.33°
Fractional positions:
Tl 0.250 0.901 0.099
Tl 0.750 0.099 0.901
Ge 0.250 0.143 0.857
Ge 0.750 0.857 0.143
Te 0.422 0.700 0.527
Te 0.078 0.473 0.300
Te 0.578 0.300 0.473
Te 0.922 0.527 0.700
S 0.185 0.918 0.817
S 0.315 0.183 0.082
S 0.815 0.082 0.183
S 0.685 0.817 0.918
S 0.457 0.871 0.307
S 0.043 0.693 0.129
S 0.543 0.129 0.693
S 0.957 0.307 0.871
S 0.916 0.691 0.531
S 0.584 0.469 0.309
S 0.084 0.309 0.469
S 0.416 0.531 0.691

The calculated density comes out at 4.15 g cm⁻³. Its space group is C2/c. The value obtained for the formation energy (no corrections) is -0.03 eV per atom. The final energy is -76.7 eV for the cell shown.

---

The following is a PBE calculation of Dy5Sc4In4 after structural relaxation, from the Alexandria database.

a = 4.827 Å, b = 8.878 Å, c = 8.878 Å
α = 85.76°, β = 74.22°, γ = 74.22°
Fractional positions:
Dy 0.692 0.915 0.701
Dy 0.308 0.085 0.299
Dy 0.000 0.000 0.000
Dy 0.607 0.701 0.085
Dy 0.393 0.299 0.915
Sc 0.903 0.509 0.685
Sc 0.588 0.315 0.509
Sc 0.097 0.491 0.315
Sc 0.412 0.685 0.491
In 0.754 0.333 0.158
In 0.246 0.667 0.842
In 0.913 0.842 0.333
In 0.087 0.158 0.667

The calculation puts the formation enthalpy at 0 K at -4.0 eV per formula unit. The calculated density comes out at 6.84 g cm⁻³. Its space group is I4/m. The final energy is -63.3 eV for the cell shown.

---

The following is a PBE calculation of TbDy2Tm3S6 after structural relaxation, from the Alexandria database.

a = 3.865 Å, b = 7.790 Å, c = 8.667 Å
α = 103.36°, β = 102.88°, γ = 90.00°
Fractional positions:
Tb 0.500 0.000 0.000
Dy 0.834 0.667 0.667
Dy 0.166 0.333 0.333
Tm 0.500 0.500 0.000
Tm 0.834 0.167 0.667
Tm 0.166 0.833 0.333
S 0.331 0.920 0.663
S 0.665 0.587 0.331
S 0.669 0.080 0.337
S 0.999 0.255 0.997
S 0.001 0.745 0.003
S 0.335 0.413 0.669

The calculated density comes out at 7.95 g cm⁻³. Its space group is C2/m. The value obtained for the formation energy (no corrections) is -1.97 eV per atom. The final energy is -75.6 eV for the cell shown.

---

- Number 1 is which compound?
  TlGeTe2S6

---

- Among the records above, which one has the highest final energy?
  Dy5Sc4In4

---

- Among the records above, which one has the lowest final energy?
  TlGeTe2S6

---

- The highest calculated density belongs to which entry?
  TbDy2Tm3S6